No. 1
# Rb2YMnF6 (GGA+U, optimized geometry)
# E   -5.6565 eV per atom
data_Rb2YMnF6
_symmetry_space_group_name_H-M 'F m -3 m'
_symmetry_Int_Tables_number 225
_symmetry_space_group_name_Hall '-F 4 2 3'
_cell_length_a 9.224
_cell_length_b 9.224
_cell_length_c 9.224
_cell_angle_alpha 90.00
_cell_angle_beta 90.00
_cell_angle_gamma 90.00
loop_
_atom_site_label
_atom_site_type_symbol
_atom_site_fract_x
_atom_site_fract_y
_atom_site_fract_z
Rb1 Rb 0.250 0.250 0.250
Y1 Y 0.000 0.000 0.000
Mn1 Mn 0.000 0.000 0.500
F1 F 0.000 0.000 0.239

No. 2
# RbYMnF6 (GGA+U, optimized geometry)
# E   -6.2374 eV per atom
data_RbYMnF6
_symmetry_space_group_name_H-M 'P -3 1 c'
_symmetry_Int_Tables_number 163
_symmetry_space_group_name_Hall '-P 3 2c'
_cell_length_a 5.9316
_cell_length_b 5.9316
_cell_length_c 11.7110
_cell_angle_alpha 90.00
_cell_angle_beta 90.00
_cell_angle_gamma 120.00
loop_
_atom_site_label
_atom_site_type_symbol
_atom_site_fract_x
_atom_site_fract_y
_atom_site_fract_z
Rb1 Rb 0.0000 0.0000 0.0000
Y1 Y 0.3333 0.6667 0.2500
Mn1 Mn 0.3333 0.6667 0.7500
F1 F 0.0054 0.3854 0.6510

No. 3
# Rb2MnZnF6 (GGA+U, optimized geometry)
# E   -4.8474 eV per atom
data_Rb2MnZnF6
_symmetry_space_group_name_H-M 'F m -3 m'
_symmetry_Int_Tables_number 225
_symmetry_space_group_name_Hall '-F 4 2 3'
_cell_length_a 8.493
_cell_length_b 8.493
_cell_length_c 8.493
_cell_angle_alpha 90.00
_cell_angle_beta 90.00
_cell_angle_gamma 90.00
loop_
_atom_site_label
_atom_site_type_symbol
_atom_site_fract_x
_atom_site_fract_y
_atom_site_fract_z
Rb1 Rb 0.250 0.250 0.250
Mn1 Mn 0.000 0.000 0.000
Zn1 Zn 0.000 0.000 0.500
F1 F 0.000 0.000 0.254

No. 4
# RbMnZn2F8 (GGA+U, optimized geometry)
# E   -4.3837 eV per atom
data_RbMnZn2F8
_symmetry_space_group_name_H-M 'R -3'
_symmetry_Int_Tables_number 148
_symmetry_space_group_name_Hall '-R 3'
_cell_length_a 5.2319
_cell_length_b 5.2319
_cell_length_c 24.1630
_cell_angle_alpha 90.00
_cell_angle_beta 90.00
_cell_angle_gamma 120.00
loop_
_atom_site_label
_atom_site_type_symbol
_atom_site_fract_x
_atom_site_fract_y
_atom_site_fract_z
Rb1 Rb 0.0000 0.0000 0.0000
Mn1 Mn 0.0000 0.0000 0.5000
Zn1 Zn 0.0000 0.0000 0.2379
F1 F 0.0000 0.0000 0.3149
F2 F 0.0072 0.3037 0.5455